(1)
This record from Alexandria via LeMat-Bulk describes a relaxed AcDyGe2 crystal. The functional is GGA-PBE.

Properties
symmetry = No. 12
energy = -20.45 eV/cell
DOS at the Fermi energy = 0.809 states/eV per atom
formation energy from the elements = -0.626 eV per atom

Cell and atoms, written as POSCAR:
```
AcDyGe2
1.0
4.567 0.000 0.000
2.284 4.244 0.114
2.284 1.586 5.923
Ac Ge Dy
1 2 1
Cartesian
2.284 0.000 0.000
4.567 4.398 4.202
4.567 1.432 1.835
2.284 2.915 3.019
```

=====

(2)
This record from Alexandria via LeMat-Bulk describes a relaxed BC3 crystal. The functional is GGA-PBE.

Properties
symmetry = No. 8
energy = -99.03 eV/cell
DOS at the Fermi energy = 0.149 states/eV per atom
formation energy from the elements = 0.334 eV per atom
offset from the most stable computed form = 94 meV/atom

Cell and atoms, written as POSCAR:
```
BC3
1.0
3.999 -0.008 -1.958
3.194 2.406 -1.958
-0.040 -0.013 7.741
C B
9 3
Cartesian
5.925 1.975 1.056
1.257 0.419 0.813
6.075 2.025 -2.966
2.480 0.827 -0.154
-0.035 -0.012 7.692
2.319 0.773 3.908
1.128 0.376 4.775
3.518 1.173 4.838
7.117 2.372 0.091
4.854 1.618 -0.154
3.519 1.173 1.077
4.748 1.583 3.915
```

=====

(3)
This record from Alexandria via LeMat-Bulk describes a relaxed Nd2InBPd6 crystal. The functional is GGA-PBE.

Properties
symmetry = No. 59
energy = -113.14 eV/cell
DOS at the Fermi energy = 0.478 states/eV per atom
formation energy from the elements = -0.646 eV per atom

Cell and atoms, written as POSCAR:
```
Nd2InBPd6
1.0
5.817 0.000 0.000
0.000 7.576 0.000
0.000 0.000 8.804
In Nd B Pd
2 4 2 12
Cartesian
2.909 2.540 0.000
0.000 5.036 4.402
0.000 2.103 1.948
2.909 5.474 2.454
0.000 2.103 6.856
2.909 5.474 6.349
2.909 1.302 4.402
0.000 6.274 0.000
2.909 1.059 6.503
1.381 7.450 4.402
1.515 2.859 4.402
2.909 1.059 2.301
0.000 6.517 6.703
4.303 2.859 4.402
1.394 4.718 0.000
1.527 0.127 0.000
4.436 7.450 4.402
0.000 6.517 2.101
4.290 0.127 0.000
4.423 4.718 0.000
```

=====

(4)
This record from Alexandria via LeMat-Bulk describes a relaxed CrAs2Pb crystal. The functional is GGA-PBE.

Properties
symmetry = No. 166
energy = -22.60 eV/cell
DOS at the Fermi energy = 0.511 states/eV per atom
formation energy from the elements = 0.007 eV per atom

Cell and atoms, written as POSCAR:
```
CrAs2Pb
1.0
-0.210 1.780 3.452
2.455 -0.990 2.850
5.062 4.873 -0.020
Cr Pb As
1 1 2
Cartesian
5.480 4.248 4.712
1.827 1.416 1.571
3.930 3.128 3.004
4.785 4.577 0.117
```

=====

(5)
This record from Alexandria via LeMat-Bulk describes a relaxed HgIr2Br crystal. The functional is GGA-PBE.

Properties
formation energy (no corrections) = 0.42 eV per atom
symmetry = No. 25
energy = -18.01 eV/cell
DOS at the Fermi energy = 0.673 states/eV per atom
offset from the most stable computed form = 0 meV/atom

Cell and atoms, written as POSCAR:
```
HgIr2Br
1.0
3.603 0.000 0.000
0.000 2.837 -0.046
0.000 0.132 7.995
Hg Ir Br
1 2 1
Cartesian
1.801 1.527 6.437
1.801 1.444 1.599
0.000 2.842 0.305
0.000 1.477 3.537
```

=====

(6)
This record from Alexandria via LeMat-Bulk describes a relaxed BaPtW crystal. The functional is GGA-PBE.

Properties
symmetry = No. 187
energy = -20.14 eV/cell
DOS at the Fermi energy = 0.859 states/eV per atom
formation energy from the elements = 0.258 eV per atom
offset from the most stable computed form = 218 meV/atom

Cell and atoms, written as POSCAR:
```
BaPtW
1.0
-1.870 3.301 -2.044
-1.412 -4.019 -0.655
-3.446 0.552 4.045
W Ba Pt
1 1 1
Cartesian
-3.288 -1.303 0.905
0.000 0.000 0.000
-3.441 1.137 0.442
```

=====

(7)
This record from Alexandria via LeMat-Bulk describes a relaxed Rb3SiO3 crystal. The functional is GGA-PBE.

Properties
formation energy (no corrections) = -1.73 eV per atom
symmetry = No. 63
energy = -70.56 eV/cell
DOS at the Fermi energy = 0.159 states/eV per atom
offset from the most stable computed form = 0 meV/atom

Cell and atoms, written as POSCAR:
```
Rb3SiO3
1.0
5.861 0.000 0.000
0.000 8.504 -0.006
0.000 -4.243 7.370
Rb O Si
6 6 2
Cartesian
4.396 4.261 4.814
1.465 -2.038 6.098
4.396 2.208 1.276
1.465 2.053 6.088
4.396 6.299 1.266
1.465 0.000 2.550
1.465 5.649 1.642
1.465 2.859 1.650
4.396 -1.388 5.722
4.396 1.402 5.714
4.396 0.000 3.302
1.465 4.261 4.062
1.465 4.257 2.452
4.396 0.005 4.912
```

=====

(8)
This record from Alexandria via LeMat-Bulk describes a relaxed CaBePt crystal. The functional is GGA-PBE.

Properties
symmetry = No. 187
energy = -13.83 eV/cell
DOS at the Fermi energy = 0.421 states/eV per atom
formation energy from the elements = -0.686 eV per atom
offset from the most stable computed form = 0 meV/atom

Cell and atoms, written as POSCAR:
```
CaBePt
1.0
-1.724 -2.978 1.862
1.134 -0.414 -3.722
3.864 -1.403 1.334
Ca Pt Be
1 1 1
Cartesian
1.469 -1.736 -1.416
2.448 -3.292 1.112
3.219 -1.169 1.111
```

=====

Calculated size of the total moment (μB/f.u.), listed in the same order as above: 0.000; 0.000; 0.000; 2.644; 0.000; 0.000; 0.018; 0.000